No. 1
EuPaAgAu: relaxed, PBE.

a b c (Å): 7.355 7.355 7.355
angles (deg): 90.00 90.00 90.00
Space group F-43m (No. 216)
Unique sites:
Eu1 0.000 0.000 0.000 [4 per cell]
Pa1 0.000 0.000 0.500 [4 per cell]
Ag1 0.250 0.250 0.250 [4 per cell]
Au1 0.250 0.250 0.750 [4 per cell]

Output
- V: 24.87 Å³ per atom
- ΔH_f (0 K): -0.0897 eV per atom

No. 2
EuAgPbAu: relaxed, PBE.

a b c (Å): 7.312 7.312 7.312
angles (deg): 90.00 90.00 90.00
Space group F-43m (No. 216)
Unique sites:
Eu1 0.000 0.000 0.000 [4 per cell]
Ag1 0.250 0.250 0.750 [4 per cell]
Pb1 0.000 0.000 0.500 [4 per cell]
Au1 0.250 0.250 0.250 [4 per cell]

Output
- V: 24.44 Å³ per atom
- ΔH_f (0 K): -0.4019 eV per atom

No. 3
EuAgPdAu: relaxed, PBE.

a b c (Å): 6.959 6.959 6.959
angles (deg): 90.00 90.00 90.00
Space group F-43m (No. 216)
Unique sites:
Eu1 0.000 0.000 0.000 [4 per cell]
Ag1 0.000 0.000 0.500 [4 per cell]
Pd1 0.250 0.250 0.250 [4 per cell]
Au1 0.250 0.250 0.750 [4 per cell]

Output
- V: 21.06 Å³ per atom
- ΔH_f (0 K): -0.3863 eV per atom

No. 4
PmEuAgAu: relaxed, PBE.

a b c (Å): 7.190 7.190 7.190
angles (deg): 90.00 90.00 90.00
Space group F-43m (No. 216)
Unique sites:
Pm1 0.000 0.000 0.000 [4 per cell]
Eu1 0.250 0.250 0.750 [4 per cell]
Ag1 0.000 0.000 0.500 [4 per cell]
Au1 0.250 0.250 0.250 [4 per cell]

Output
- V: 23.23 Å³ per atom
- ΔH_f (0 K): -0.3431 eV per atom

No. 5
PrEuAgAu: relaxed, PBE.

a b c (Å): 7.241 7.241 7.241
angles (deg): 90.00 90.00 90.00
Space group F-43m (No. 216)
Unique sites:
Pr1 0.000 0.000 0.000 [4 per cell]
Eu1 0.250 0.250 0.250 [4 per cell]
Ag1 0.000 0.000 0.500 [4 per cell]
Au1 0.250 0.250 0.750 [4 per cell]

Output
- V: 23.73 Å³ per atom
- ΔH_f (0 K): -0.3406 eV per atom

No. 6
EuPuAgAu: relaxed, PBE.

a b c (Å): 7.434 7.434 7.434
angles (deg): 90.00 90.00 90.00
Space group F-43m (No. 216)
Unique sites:
Eu1 0.000 0.000 0.000 [4 per cell]
Pu1 0.000 0.000 0.500 [4 per cell]
Ag1 0.250 0.250 0.250 [4 per cell]
Au1 0.250 0.250 0.750 [4 per cell]

Output
- V: 25.68 Å³ per atom
- ΔH_f (0 K): -0.2914 eV per atom

No. 7
SmEuAgAu: relaxed, PBE.

a b c (Å): 7.175 7.175 7.175
angles (deg): 90.00 90.00 90.00
Space group F-43m (No. 216)
Unique sites:
Sm1 0.000 0.000 0.000 [4 per cell]
Eu1 0.250 0.250 0.250 [4 per cell]
Ag1 0.000 0.000 0.500 [4 per cell]
Au1 0.250 0.250 0.750 [4 per cell]

Output
- V: 23.09 Å³ per atom
- ΔH_f (0 K): -0.3400 eV per atom

No. 8
SrEuAgAu: relaxed, PBE.

a b c (Å): 7.653 7.653 7.653
angles (deg): 90.00 90.00 90.00
Space group F-43m (No. 216)
Unique sites:
Sr1 0.000 0.000 0.000 [4 per cell]
Eu1 0.000 0.000 0.500 [4 per cell]
Ag1 0.250 0.250 0.250 [4 per cell]
Au1 0.250 0.250 0.750 [4 per cell]

Output
- V: 28.02 Å³ per atom
- ΔH_f (0 K): -0.5093 eV per atom

No. 9
EuZnAgAu: relaxed, PBE.

a b c (Å): 7.039 7.039 7.039
angles (deg): 90.00 90.00 90.00
Space group F-43m (No. 216)
Unique sites:
Eu1 0.000 0.000 0.000 [4 per cell]
Zn1 0.250 0.250 0.250 [4 per cell]
Ag1 0.000 0.000 0.500 [4 per cell]
Au1 0.250 0.250 0.750 [4 per cell]

Output
- V: 21.80 Å³ per atom
- ΔH_f (0 K): -0.3331 eV per atom

No. 10
Ag6AuF8: relaxed, PBE.

a b c (Å): 9.4810 9.4810 3.0550
angles (deg): 90.00 90.00 120.00
Space group P-3 (No. 147)
Unique sites:
Ag1 0.1101 0.6672 0.1177 [6 per cell]
Au1 0.0000 0.0000 0.0000 [1 per cell]
F1 0.0929 0.3600 0.4904 [6 per cell]
F2 0.3333 0.6667 0.8938 [2 per cell]

Output
- V: 15.86 Å³ per atom
- E_form (uncorrected): -0.827 eV/atom

No. 11
AgAuF2: relaxed, PBE.

a b c (Å): 3.1844 3.1844 22.4249
angles (deg): 90.00 90.00 120.00
Space group R-3m (No. 166, hexagonal axes)
Unique sites:
Ag1 0.0000 0.0000 0.0000 [3 per cell]
Au1 0.0000 0.0000 0.5000 [3 per cell]
F1 0.0000 0.0000 0.4066 [6 per cell]

Output
- V: 16.41 Å³ per atom
- E_form (uncorrected): -0.785 eV/atom

No. 12
Ag3AuF: relaxed, PBE.

a b c (Å): 4.577 4.577 4.577
angles (deg): 90.00 90.00 90.00
Space group Pm-3m (No. 221)
Unique sites:
Ag1 0.000 0.000 0.500 [3 per cell]
Au1 0.500 0.500 0.500 [1 per cell]
F1 0.000 0.000 0.000 [1 per cell]

Output
- V: 19.17 Å³ per atom
- E_form (uncorrected): -0.055 eV/atom

No. 13
AgAuF3: relaxed, PBE.

a b c (Å): 4.324 4.324 4.324
angles (deg): 90.00 90.00 90.00
Space group Pm-3m (No. 221)
Unique sites:
Ag1 0.000 0.000 0.000 [1 per cell]
Au1 0.500 0.500 0.500 [1 per cell]
F1 0.000 0.000 0.500 [3 per cell]

Output
- V: 16.16 Å³ per atom
- E_form (uncorrected): -0.640 eV/atom

No. 14
Ag5AuF4: relaxed, PBE.

a b c (Å): 6.245 10.702 5.605
angles (deg): 90.00 113.71 90.00
Space group Cm (No. 8)
Unique sites:
Ag1 0.000 0.000 0.000 [2 per cell]
Ag2 0.028 0.134 0.451 [4 per cell]
Ag3 0.112 0.366 0.993 [4 per cell]
Au1 0.147 0.500 0.432 [2 per cell]
F1 0.209 0.161 0.917 [4 per cell]
F2 0.424 0.155 0.528 [4 per cell]

Output
- V: 17.15 Å³ per atom
- E_form (uncorrected): -0.786 eV/atom

No. 15
Ag2AuF4: relaxed, PBE.

a b c (Å): 6.113 6.113 6.126
angles (deg): 90.00 90.00 90.00
Space group I4/mmm (No. 139)
Unique sites:
Ag1 0.000 0.500 0.250 [4 per cell]
Au1 0.000 0.000 0.000 [2 per cell]
F1 0.247 0.247 0.000 [8 per cell]

Output
- V: 16.35 Å³ per atom
- E_form (uncorrected): -0.877 eV/atom